(1)
VASP calculation (PBE) on an optimized crystal structure of Si.

```
Si
1.0
1.926 -5.372 0.000
1.926 5.372 0.000
0.000 0.000 12.739
Si
12
Direct
0.757 0.243 0.445
0.971 0.029 0.091
0.029 0.971 0.591
0.429 0.571 0.843
0.429 0.571 0.657
0.571 0.429 0.343
0.971 0.029 0.409
0.029 0.971 0.909
0.243 0.757 0.555
0.571 0.429 0.157
0.757 0.243 0.055
0.243 0.757 0.945
```

Properties
calculated total energy = -64.00 eV per cell
calculated volume = 22.0 A^3/atom
raw formation energy = 0.09 eV/atom
relative energy among the computed polymorphs = 89.3 meV/atom

(2)
VASP calculation (PBE) on an optimized crystal structure of Si.

```
Si
1.0
10.203 0.000 0.000
0.000 10.203 0.000
0.000 0.000 10.203
Si
48
Direct
0.318 0.682 0.682
0.000 0.883 0.308
0.308 0.000 0.117
0.692 0.000 0.117
0.250 0.500 0.000
0.383 0.500 0.808
0.192 0.383 0.500
0.182 0.818 0.182
0.500 0.192 0.617
0.318 0.682 0.318
0.000 0.883 0.692
0.500 0.500 0.500
0.308 0.000 0.883
0.117 0.692 0.000
0.182 0.818 0.818
0.000 0.750 0.500
0.000 0.250 0.500
0.808 0.617 0.500
0.818 0.818 0.818
0.500 0.808 0.383
0.318 0.318 0.682
0.182 0.182 0.818
0.000 0.117 0.692
0.682 0.318 0.318
0.500 0.000 0.250
0.000 0.117 0.308
0.692 0.000 0.883
0.000 0.000 0.000
0.682 0.318 0.682
0.182 0.182 0.182
0.318 0.318 0.318
0.883 0.692 0.000
0.617 0.500 0.808
0.750 0.500 0.000
0.383 0.500 0.192
0.818 0.182 0.182
0.500 0.192 0.383
0.818 0.818 0.182
0.617 0.500 0.192
0.500 0.000 0.750
0.682 0.682 0.318
0.192 0.617 0.500
0.818 0.182 0.818
0.117 0.308 0.000
0.808 0.383 0.500
0.883 0.308 0.000
0.500 0.808 0.617
0.682 0.682 0.682
```

Properties
calculated total energy = -252.75 eV per cell
calculated volume = 22.1 A^3/atom
raw formation energy = 0.16 eV/atom
N(E_F) = 0.283 states/eV/f.u.
relative energy among the computed polymorphs = 157.3 meV/atom

(3)
VASP calculation (PBE) on an optimized crystal structure of Si.

```
Si
1.0
-3.304 3.963 1.005
-1.436 -3.852 -3.277
-1.549 -2.086 3.131
Si
6
Direct
0.342 0.171 0.750
0.829 0.658 0.750
0.171 0.829 0.250
0.171 0.342 0.250
0.658 0.829 0.250
0.829 0.171 0.750
```

Properties
calculated total energy = -30.01 eV per cell
calculated volume = 16.2 A^3/atom
raw formation energy = 0.42 eV/atom
N(E_F) = 0.168 states/eV/f.u.
relative energy among the computed polymorphs = 421.1 meV/atom

(4)
VASP calculation (PBE) on an optimized crystal structure of Si.

```
Si
1.0
-3.364 3.364 3.364
3.364 -3.364 3.364
3.364 3.364 -3.364
Si
6
Direct
0.250 0.750 0.500
0.250 0.500 0.750
0.750 0.250 0.500
0.500 0.750 0.250
0.500 0.250 0.750
0.750 0.500 0.250
```

Properties
calculated total energy = -31.21 eV per cell
calculated volume = 25.4 A^3/atom
raw formation energy = 0.22 eV/atom
N(E_F) = 0.049 states/eV/f.u.
relative energy among the computed polymorphs = 220.5 meV/atom

(5)
VASP calculation (PBE) on an optimized crystal structure of Si.

```
Si
1.0
-3.300 -0.262 1.501
-0.783 -1.578 -3.180
1.962 -0.826 2.947
Si
2
Direct
0.250 0.873 0.123
0.750 0.127 0.877
```

Properties
calculated total energy = -10.27 eV per cell
calculated volume = 15.3 A^3/atom
raw formation energy = 0.29 eV/atom
N(E_F) = 0.295 states/eV/f.u.
relative energy among the computed polymorphs = 289.0 meV/atom

(6)
VASP calculation (PBE) on an optimized crystal structure of Si.

```
Si
1.0
-3.616 0.629 6.522
6.388 -1.319 3.668
1.516 7.632 0.104
Si
16
Direct
0.661 0.839 0.750
0.161 0.339 0.250
0.839 0.661 0.250
0.661 0.339 0.500
0.839 0.839 0.000
0.661 0.661 0.500
0.339 0.339 0.500
0.339 0.839 0.750
0.339 0.161 0.750
0.661 0.161 0.750
0.161 0.839 0.000
0.161 0.661 0.250
0.839 0.339 0.250
0.839 0.161 0.000
0.161 0.161 0.000
0.339 0.661 0.500
```

Properties
calculated total energy = -81.19 eV per cell
calculated volume = 27.2 A^3/atom
raw formation energy = 0.35 eV/atom
N(E_F) = 0.008 states/eV/f.u.
relative energy among the computed polymorphs = 348.7 meV/atom

(7)
VASP calculation (PBE) on an optimized crystal structure of Si.

```
Si
1.0
3.866 0.000 0.000
1.933 3.348 0.000
1.933 1.116 3.157
Si
2
Direct
0.000 0.000 0.000
0.250 0.250 0.250
```

Properties
calculated total energy = -10.85 eV per cell
calculated volume = 20.4 A^3/atom
raw formation energy = 0.00 eV/atom
relative energy among the computed polymorphs = 0.0 meV/atom

(8)
VASP calculation (PBE) on an optimized crystal structure of Si.

```
Si
1.0
3.850 0.000 0.000
-1.925 3.334 0.000
0.000 0.000 6.358
Si
4
Direct
0.667 0.333 0.500
0.000 0.000 0.625
0.667 0.333 0.125
0.000 0.000 0.000
```

Properties
calculated total energy = -21.65 eV per cell
calculated volume = 20.4 A^3/atom
raw formation energy = 0.01 eV/atom
N(E_F) = 0.000 states/eV/f.u.
relative energy among the computed polymorphs = 10.0 meV/atom

(9)
VASP calculation (PBE) on an optimized crystal structure of Si.

```
Si
1.0
10.210 0.000 0.000
-5.105 8.842 0.000
0.000 0.000 10.389
Si
40
Direct
0.291 0.581 0.312
0.765 0.133 0.500
0.119 0.000 0.187
0.881 0.381 0.813
0.709 0.419 0.312
0.500 0.381 0.187
0.258 0.758 0.000
0.633 0.867 0.500
0.919 0.209 0.312
0.235 0.867 0.500
0.291 0.209 0.688
0.291 0.581 0.688
0.291 0.209 0.312
0.258 0.000 0.000
0.119 0.000 0.813
0.709 0.791 0.688
0.833 0.667 0.612
0.500 0.619 0.187
0.709 0.419 0.688
0.119 0.619 0.813
0.367 0.133 0.500
0.500 0.381 0.813
0.919 0.209 0.688
0.881 0.000 0.187
0.081 0.791 0.312
0.881 0.381 0.187
0.500 0.619 0.813
0.081 0.791 0.688
0.709 0.791 0.312
0.633 0.265 0.500
0.119 0.619 0.187
0.500 0.758 0.000
0.742 0.242 0.000
0.500 0.242 0.000
0.367 0.735 0.500
0.881 0.000 0.813
0.167 0.333 0.612
0.742 0.000 0.000
0.167 0.333 0.388
0.833 0.667 0.388
```

Properties
calculated total energy = -213.80 eV per cell
calculated volume = 23.4 A^3/atom
raw formation energy = 0.08 eV/atom
relative energy among the computed polymorphs = 78.0 meV/atom

(10)
VASP calculation (PBE) on an optimized crystal structure of Si.

```
Si
1.0
3.447 -5.971 0.000
3.447 5.971 0.000
0.000 0.000 2.452
Si
6
Direct
0.279 0.427 0.000
0.721 0.573 0.000
0.427 0.148 0.000
0.573 0.852 0.000
0.852 0.279 0.000
0.148 0.721 0.000
```

Properties
calculated total energy = -30.45 eV per cell
calculated volume = 16.8 A^3/atom
raw formation energy = 0.35 eV/atom
N(E_F) = 0.291 states/eV/f.u.
relative energy among the computed polymorphs = 347.8 meV/atom

(11)
VASP calculation (PBE) on an optimized crystal structure of Si.

```
Si
1.0
-1.393 7.700 5.297
-5.397 -7.651 1.275
2.541 -1.353 2.635
Si
12
Direct
0.082 0.669 0.750
0.669 0.082 0.250
0.331 0.918 0.750
0.586 0.918 0.750
0.669 0.586 0.250
0.331 0.414 0.750
0.918 0.586 0.250
0.414 0.331 0.250
0.082 0.414 0.750
0.414 0.082 0.250
0.586 0.669 0.750
0.918 0.331 0.250
```

Properties
calculated total energy = -62.42 eV per cell
calculated volume = 25.1 A^3/atom
raw formation energy = 0.22 eV/atom
N(E_F) = 0.066 states/eV/f.u.
relative energy among the computed polymorphs = 221.7 meV/atom

(12)
VASP calculation (PBE) on an optimized crystal structure of Si.

```
Si
1.0
-1.606 1.468 1.647
-0.642 -0.946 2.478
1.046 1.183 2.225
Si
1
Direct
0.000 0.000 0.000
```

Properties
calculated total energy = -4.89 eV per cell
calculated volume = 14.4 A^3/atom
raw formation energy = 0.53 eV/atom
N(E_F) = 0.688 states/eV/f.u.
relative energy among the computed polymorphs = 531.6 meV/atom